The following is a GGA-PBE calculation of a relaxed LaDyYHo3 crystal, from the Alexandria database.

Computed properties:
Its density of states at the Fermi level is 19.44 states/eV/cell. The formation energy comes out at 0.21 eV per atom.

Geometry as POSCAR:
```
LaDyYHo3
1.0
5.658 0.000 0.000
-2.829 9.707 1.585
0.000 -1.240 6.951
Ho La Dy Y
6 2 2 2
direct
0.163 0.325 0.725
0.524 0.047 0.733
0.221 0.442 0.243
0.837 0.675 0.275
0.779 0.558 0.757
0.476 0.953 0.267
0.356 0.711 0.972
0.644 0.289 0.028
0.350 0.701 0.544
0.650 0.299 0.456
0.052 0.104 0.271
0.948 0.896 0.729
```